[1]
12
Lattice="8.301 0.000 0.000 0.000 5.258 0.000 -3.362 0.000 9.943" Properties=species:S:1:pos:R:3 comment="AcPmNd3Y | Alexandria | PBE-GGA | relaxed" total_energy_ev_per_cell=-58.89 spacegroup="P2_1/m, No. 11" pbc="T T T"
Ac 0.420 1.315 2.908
Ac 4.520 3.944 7.036
Pm 1.175 3.944 8.711
Pm 3.765 1.315 1.232
Nd -0.418 3.944 5.432
Nd -1.241 1.315 7.884
Nd 1.291 3.944 0.397
Nd 3.648 1.315 9.547
Nd 6.181 3.944 2.059
Nd 5.357 1.315 4.512
Y 2.024 1.315 6.234
Y 2.916 3.944 3.709

***

[2]
20
Lattice="5.229 0.000 0.000 0.000 5.229 0.000 0.000 0.000 26.049" Properties=species:S:1:pos:R:3 comment="CePr15Sm4 | Alexandria | PBE-GGA | relaxed" total_energy_ev_per_cell=-95.94 spacegroup="P4/mmm, No. 123" pbc="T T T"
Ce 0.000 0.000 0.000
Pr 0.000 2.614 2.565
Pr 0.000 2.614 7.803
Pr 0.000 2.614 13.024
Pr 0.000 2.614 18.246
Pr 0.000 2.614 23.484
Pr 2.614 0.000 2.565
Pr 2.614 0.000 7.803
Pr 2.614 0.000 13.024
Pr 2.614 0.000 18.246
Pr 2.614 0.000 23.484
Pr 2.614 2.614 0.000
Pr 2.614 2.614 5.222
Pr 2.614 2.614 10.426
Pr 2.614 2.614 15.623
Pr 2.614 2.614 20.827
Sm 0.000 0.000 5.196
Sm 0.000 0.000 10.418
Sm 0.000 0.000 15.630
Sm 0.000 0.000 20.853